First-principles (PBE-GGA) data for a geometry-optimized CePS2 structure, as listed in the Alexandria database.

Cell: 3.487 3.487 8.532 Å, 78.21 78.21 60.00°
Last column: magnetic moment on the atom in μB.
Sites, in units of the cell vectors:
P1 0.500 0.500 0.500  0.01
Ce1 0.000 0.000 0.000  0.94
S1 0.112 0.112 0.665  -0.01
S2 0.888 0.888 0.335  -0.01

Properties
As for the density of states at the Fermi level: 1.4189 states/eV per atom. The calculation puts the total energy at -20.2 eV per cell. The space group is No. 166. The calculation puts the magnetization at 1.21 μB per formula unit.